{
  "formula": "KNaLiCd",
  "functional": "PBE",
  "state": "relaxed",
  "dft_energy_ev_per_cell": -5.1,
  "n_ef_per_ev_cell": 1.446,
  "delta_e_f_ev_per_atom": 0.045,
  "cell": [[0.000, 4.030, 4.030], [4.030, 0.000, 4.030], [4.030, 4.030, 0.000]],
  "species": ["K", "Na", "Li", "Cd"],
  "fractional_positions": [[0.000, 0.000, 0.000], [0.750, 0.750, 0.750], [0.500, 0.500, 0.500], [0.250, 0.250, 0.250]]
}



{
  "formula": "BaTc2Pb",
  "functional": "PBE",
  "state": "relaxed",
  "dft_energy_ev_per_cell": -21.7,
  "n_ef_per_ev_cell": 4.229,
  "delta_e_f_ev_per_atom": 1.168,
  "cell": [[1.731, -2.722, 0.000], [1.731, 2.722, 0.000], [0.000, 0.000, 9.309]],
  "species": ["Ba", "Tc", "Tc", "Pb"],
  "fractional_positions": [[0.000, 0.000, 0.000], [0.500, 0.500, 0.270], [0.500, 0.500, 0.730], [0.000, 0.000, 0.500]]
}



{
  "formula": "La4OsSe2Br",
  "functional": "PBE",
  "state": "relaxed",
  "dft_energy_ev_per_cell": -50.3,
  "n_ef_per_ev_cell": 6.885,
  "raw_formation_energy_kcal_per_mol_atoms": -30.83,
  "cell": [[7.513, 0.000, 0.000], [0.000, 4.236, 0.000], [-2.271, 0.000, 7.258]],
  "species": ["La", "La", "La", "La", "Os", "Se", "Se", "Br"],
  "fractional_positions": [[0.234, 0.000, 0.225], [0.243, 0.500, 0.779], [0.757, 0.500, 0.221], [0.766, 0.000, 0.775], [0.000, 0.500, 0.000], [0.500, 0.000, 0.000], [0.500, 0.500, 0.500], [0.000, 0.000, 0.500]]
}



{
  "formula": "Pm3Tm3Mg",
  "functional": "PBE",
  "state": "relaxed",
  "dft_energy_ev_per_cell": -57.4,
  "n_ef_per_ev_cell": 19.068,
  "delta_e_f_ev_per_atom": 0.084,
  "polymorph_energy_ev_per_fu": 0.50,
  "cell": [[3.090, 1.784, 13.928], [-3.090, 1.784, 13.928], [0.000, -3.568, 13.928]],
  "species": ["Pm", "Pm", "Pm", "Pm", "Pm", "Pm", "Tm", "Tm", "Tm", "Tm", "Tm", "Tm", "Mg", "Mg"],
  "fractional_positions": [[0.101, 0.434, 0.768], [0.232, 0.899, 0.566], [0.434, 0.768, 0.101], [0.566, 0.232, 0.899], [0.768, 0.101, 0.434], [0.899, 0.566, 0.232], [0.034, 0.699, 0.367], [0.301, 0.633, 0.966], [0.367, 0.034, 0.699], [0.633, 0.966, 0.301], [0.699, 0.367, 0.034], [0.966, 0.301, 0.633], [0.167, 0.167, 0.167], [0.833, 0.833, 0.833]]
}



{
  "formula": "AcGa12Au4",
  "functional": "PBE",
  "state": "relaxed",
  "dft_energy_ev_per_cell": -56.9,
  "n_ef_per_ev_cell": 9.075,
  "delta_e_f_ev_per_atom": -0.200,
  "cell": [[-4.509, 4.509, 4.509], [4.509, -4.509, 4.509], [4.509, 4.509, -4.509]],
  "species": ["Ac", "Ga", "Ga", "Ga", "Ga", "Ga", "Ga", "Ga", "Ga", "Ga", "Ga", "Ga", "Ga", "Au", "Au", "Au", "Au"],
  "fractional_positions": [[0.000, 0.000, 0.000], [0.148, 0.505, 0.356], [0.148, 0.792, 0.644], [0.208, 0.356, 0.852], [0.356, 0.148, 0.505], [0.356, 0.852, 0.208], [0.495, 0.644, 0.852], [0.505, 0.356, 0.148], [0.644, 0.148, 0.792], [0.644, 0.852, 0.495], [0.792, 0.644, 0.148], [0.852, 0.208, 0.356], [0.852, 0.495, 0.644], [0.000, 0.000, 0.500], [0.000, 0.500, 0.000], [0.500, 0.000, 0.000], [0.500, 0.500, 0.500]]
}



{
  "formula": "TbInBi2O6",
  "functional": "PBE",
  "state": "relaxed",
  "dft_energy_ev_per_cell": -126.9,
  "n_ef_per_ev_cell": 0.000,
  "raw_formation_energy_kcal_per_mol_atoms": -42.82,
  "cell": [[5.748, 0.000, 0.000], [0.000, 6.187, 0.000], [-5.740, 0.000, 8.360]],
  "species": ["Tb", "Tb", "In", "In", "Bi", "Bi", "Bi", "Bi", "O", "O", "O", "O", "O", "O", "O", "O", "O", "O", "O", "O"],
  "fractional_positions": [[0.000, 0.000, 0.000], [0.000, 0.500, 0.500], [0.500, 0.000, 0.500], [0.500, 0.500, 0.000], [0.236, 0.038, 0.747], [0.236, 0.462, 0.247], [0.764, 0.538, 0.753], [0.764, 0.962, 0.253], [0.113, 0.178, 0.439], [0.113, 0.322, 0.939], [0.269, 0.687, 0.434], [0.269, 0.813, 0.934], [0.395, 0.054, 0.255], [0.395, 0.446, 0.755], [0.605, 0.554, 0.245], [0.605, 0.946, 0.745], [0.731, 0.187, 0.066], [0.731, 0.313, 0.566], [0.887, 0.678, 0.061], [0.887, 0.822, 0.561]]
}